Material: Pu2Pt3Rh
Method: DFT, PBE
State: optimized geometry

Cell lengths 5.4091, 5.4091, 5.4391 Å; angles 89.99, 119.82, 120.01 degrees
Closest atoms and distances in Å follow each position.
Fractional coordinates of all 6 atoms:
Pt (0.5000, 0.0000, 0.5000)  4 Pt 2.70, 2 Rh 2.72
Pt (0.0000, 0.0000, 0.5000)  4 Pt 2.70, 2 Rh 2.72
Pt (0.5000, 0.5000, 0.5000)  4 Pt 2.70, 2 Rh 2.72
Rh (0.0000, 0.0000, 0.0000)  6 Pt 2.72
Pu (0.7479, 0.3740, 0.1219)  3 Rh 3.17, 9 Pt 3.18-3.19, 4 Pu 3.31-3.37
Pu (0.2521, 0.6260, 0.8781)  3 Rh 3.17, 9 Pt 3.18-3.19, 4 Pu 3.31-3.37

=====

Material: Pu6PtRh3
Method: DFT, PBE
State: optimized geometry

Cell lengths 8.0349, 5.5639, 5.5639 Å; angles 88.32, 75.18, 75.18 degrees
Closest atoms and distances in Å follow each position.
Fractional coordinates of all 10 atoms:
Rh (0.6674, 0.7777, 0.7777)  7 Pu 2.78-3.03, 1 Pt 2.98
Rh (0.3326, 0.2223, 0.2223)  7 Pu 2.78-3.03, 1 Pt 2.98
Rh (0.0000, 0.0000, 0.0000)  6 Pu 2.60-2.86
Pu (0.0492, 0.6604, 0.6604)  2 Rh 2.60-2.87
Pu (0.6802, 0.8853, 0.2833)  4 Rh 2.78-3.03, 1 Pt 2.95, 1 Pu 3.09
Pu (0.9508, 0.3396, 0.3396)  2 Rh 2.60-2.87
Pu (0.3198, 0.7167, 0.1147)  4 Rh 2.78-3.03, 1 Pt 2.95, 1 Pu 3.09
Pu (0.3198, 0.1147, 0.7167)  4 Rh 2.78-3.03, 1 Pt 2.95, 1 Pu 3.09
Pu (0.6802, 0.2833, 0.8853)  4 Rh 2.78-3.03, 1 Pt 2.95, 1 Pu 3.09
Pt (0.5000, 0.5000, 0.5000)  4 Pu 2.95, 2 Rh 2.98

=====

Material: Pu7Pt2Rh2
Method: DFT, PBE
State: optimized geometry

Cell lengths 4.5794, 8.3089, 8.3089 Å; angles 55.26, 74.00, 74.00 degrees
Closest atoms and distances in Å follow each position.
Fractional coordinates of all 11 atoms:
Pu (0.3654, 0.8038, 0.4654)  3 Pu 2.87-3.17, 3 Pt 2.96-2.97, 1 Rh 3.21
Pu (0.6346, 0.5346, 0.1962)  3 Pu 2.87-3.17, 3 Pt 2.96-2.97, 1 Rh 3.21
Pu (0.1271, 0.1790, 0.5669)  3 Rh 2.93-3.23, 3 Pt 2.94-3.25
Pu (0.1804, 0.6968, 0.9425)  3 Rh 2.73-2.85, 2 Pu 2.87, 1 Pt 3.03
Pu (0.8196, 0.0575, 0.3032)  3 Rh 2.73-2.85, 2 Pu 2.87, 1 Pt 3.03
Pu (0.8729, 0.4331, 0.8210)  3 Rh 2.93-3.23, 3 Pt 2.94-3.25
Pu (0.5000, 0.0004, 0.9996)  1 Pt 2.87, 2 Rh 3.06, 2 Pu 3.17
Pt (0.0000, 0.6592, 0.3408)  8 Pu 2.97-3.25, 2 Pt 3.18
Pt (0.5000, 0.3730, 0.6270)  7 Pu 2.87-2.96, 2 Pt 3.18
Rh (0.2839, 0.2743, 0.1578)  4 Pu 2.73-2.93
Rh (0.7161, 0.8422, 0.7257)  4 Pu 2.73-2.93

=====

Material: Pu7Pt2Rh2
Method: DFT, PBE
State: optimized geometry

Cell lengths 6.5683, 6.6972, 6.5683 Å; angles 90.04, 107.76, 89.96 degrees
Closest atoms and distances in Å follow each position.
Fractional coordinates of all 11 atoms:
Pu (0.0000, 0.0000, 0.0000)  2 Rh 3.03
Pu (0.5002, 0.7348, 0.4998)  2 Rh 2.88, 2 Pt 2.98, 1 Pu 3.14
Pu (0.0001, 0.7144, 0.5000)  2 Rh 2.75, 1 Pu 2.87, 2 Pt 3.07-3.08
Pu (0.5000, 0.7144, 0.9999)  2 Rh 2.75, 1 Pu 2.87, 2 Pt 3.07-3.08
Pu (0.4998, 0.2652, 0.5002)  2 Rh 2.88, 2 Pt 2.98, 1 Pu 3.14
Pu (0.9999, 0.2856, 0.5000)  2 Rh 2.75, 1 Pu 2.87, 2 Pt 3.07-3.08
Pu (0.5000, 0.2856, 0.0001)  2 Rh 2.75, 1 Pu 2.87, 2 Pt 3.07-3.08
Rh (0.7141, 0.0001, 0.2859)  7 Pu 2.75-3.03
Rh (0.2859, 0.9999, 0.7141)  7 Pu 2.75-3.03
Pt (0.1732, 0.5000, 0.1732)  1 Pt 2.68, 2 Pu 2.98
Pt (0.8268, 0.5000, 0.8268)  1 Pt 2.68, 2 Pu 2.98

=====

Material: Pu3PtRh
Method: DFT, PBE
State: optimized geometry

Cell lengths 6.8857, 6.8857, 6.8857 Å; angles 90.00, 90.00, 90.00 degrees
Closest atoms and distances in Å follow each position.
Fractional coordinates of all 15 atoms:
Pu (0.5000, 0.5000, 0.5000)  8 Pu 3.08, 6 Pt 3.44
Pu (0.2414, 0.2414, 0.7586)  3 Rh 2.95, 3 Pt 3.02, 1 Pu 3.08
Pu (0.7586, 0.7586, 0.7586)  3 Rh 2.95, 3 Pt 3.02, 1 Pu 3.08
Pu (0.7586, 0.2414, 0.2414)  3 Rh 2.95, 3 Pt 3.02, 1 Pu 3.08
Pu (0.7586, 0.7586, 0.2414)  3 Rh 2.95, 3 Pt 3.02, 1 Pu 3.08
Pu (0.2414, 0.7586, 0.7586)  3 Rh 2.95, 3 Pt 3.02, 1 Pu 3.08
Pu (0.2414, 0.2414, 0.2414)  3 Rh 2.95, 3 Pt 3.02, 1 Pu 3.08
Pu (0.7586, 0.2414, 0.7586)  3 Rh 2.95, 3 Pt 3.02, 1 Pu 3.08
Pu (0.2414, 0.7586, 0.2414)  3 Rh 2.95, 3 Pt 3.02, 1 Pu 3.08
Pt (0.5000, 0.5000, 0.0000)  8 Pu 3.02
Pt (0.0000, 0.5000, 0.5000)  8 Pu 3.02
Pt (0.5000, 0.0000, 0.5000)  8 Pu 3.02
Rh (0.0000, 0.0000, 0.5000)  8 Pu 2.95
Rh (0.0000, 0.5000, 0.0000)  8 Pu 2.95
Rh (0.5000, 0.0000, 0.0000)  8 Pu 2.95

=====

Material: Pu2Pt2Rh3
Method: DFT, PBE
State: optimized geometry

Cell lengths 6.9209, 6.9209, 6.9209 Å; angles 109.47, 109.47, 109.47 degrees
Closest atoms and distances in Å follow each position.
Fractional coordinates of all 14 atoms:
Pu (0.1359, 0.6359, 0.6359)  3 Rh 2.63
Pu (0.0000, 0.0000, 0.8641)  3 Rh 2.63
Pu (0.5000, 0.8641, 0.5000)  3 Rh 2.63
Pu (0.3641, 0.5000, 0.0000)  3 Rh 2.63
Rh (0.3816, 0.1316, 0.7500)  2 Pu 2.63, 4 Pt 2.69-2.81
Rh (0.7500, 0.6184, 0.3684)  2 Pu 2.63, 4 Pt 2.69-2.81
Rh (0.2500, 0.8816, 0.1316)  2 Pu 2.63, 4 Pt 2.69-2.81
Rh (0.6316, 0.7500, 0.8816)  2 Pu 2.63, 4 Pt 2.69-2.81
Rh (0.8684, 0.2500, 0.6184)  2 Pu 2.63, 4 Pt 2.69-2.81
Rh (0.1184, 0.3684, 0.2500)  2 Pu 2.63, 4 Pt 2.69-2.81
Pt (0.8533, 0.5000, 0.0000)  6 Rh 2.69-2.81
Pt (0.6467, 0.1467, 0.1467)  6 Rh 2.69-2.81
Pt (0.0000, 0.0000, 0.3533)  6 Rh 2.69-2.81
Pt (0.5000, 0.3533, 0.5000)  6 Rh 2.69-2.81

=====

Respective ΔH_f (0 K) values: -0.775; -0.298; -0.348; -0.229; -0.388; -0.220 eV/atom.